# K2BiSe (GGA-PBE, optimized geometry)
# density of states at the Fermi level = 1.017 states/eV per atom
# raw formation energy = -0.436 eV per atom
# final energy = -11.31 eV per formula unit
data_K2BiSe
_chemical_formula_sum 'K4 Bi2 Se2'
_cell_length_a 10.0284
_cell_length_b 10.0284
_cell_length_c 7.7074
_cell_angle_alpha 49.42
_cell_angle_beta 49.42
_cell_angle_gamma 90.00
_symmetry_space_group_name_H-M 'P 1'
_symmetry_Int_Tables_number 1
loop_
_symmetry_equiv_pos_as_xyz
'x,y,z'
loop_
_atom_site_label
_atom_site_type_symbol
_atom_site_fract_x
_atom_site_fract_y
_atom_site_fract_z
Bi1 Bi 0.7500 0.2500 0.5000
Bi2 Bi 0.0000 0.0000 0.0000
K1 K 0.3750 0.4511 0.7500
K2 K 0.2011 0.6250 0.2500
K3 K 0.8750 0.7989 0.7500
K4 K 0.5489 0.1250 0.2500
Se1 Se 0.5000 0.5000 0.0000
Se2 Se 0.2500 0.7500 0.5000